(1)
SmAl | PBE | optimized geometry

The raw total energy is -4.16 eV per atom.

The space group is Fm-3m (No. 225) and the conventional cell measures 6.139, 6.139 and 6.139 Å, with angles of 90.00, 90.00 and 90.00 degrees. The asymmetric unit holds Sm at (0.000, 0.000, 0.000) and Al at (0.000, 0.000, 0.500).

---

(2)
SmAl5 | PBE | optimized geometry

The raw total energy is -4.16 eV per atom.

The space group is P6_322 (No. 182) and the conventional cell measures 5.4738, 5.4738 and 17.7281 Å, with angles of 90.00, 90.00 and 120.00 degrees. The asymmetric unit holds Sm at (0.3333, 0.6667, 0.1498), Al at (0.0000, 0.0000, 0.1105), Al at (0.0000, 0.3648, 0.5000), Al at (0.1653, 0.3306, 0.7500) and Al at (0.3333, 0.6667, 0.6207).

---

(3)
SmAl3 | PBE | optimized geometry

The raw total energy is -4.44 eV per atom.

The space group is P6_3/mmc (No. 194) and the conventional cell measures 6.4213, 6.4213 and 4.6069 Å, with angles of 90.00, 90.00 and 120.00 degrees. The asymmetric unit holds Sm at (0.3333, 0.6667, 0.2500) and Al at (0.1439, 0.2879, 0.7500).

---

(4)
SmAl | PBE | optimized geometry

The raw total energy is -3.67 eV per atom.

The space group is P6_3/mmc (No. 194) and the conventional cell measures 5.3274, 5.3274 and 6.0658 Å, with angles of 90.00, 90.00 and 120.00 degrees. The asymmetric unit holds Sm at (0.3333, 0.6667, 0.2500) and Al at (0.3333, 0.6667, 0.7500).

---

(5)
SmAl4 | PBE | optimized geometry

The raw total energy is -4.22 eV per atom.

The space group is I4/mmm (No. 139) and the conventional cell measures 4.226, 4.226 and 11.443 Å, with angles of 90.00, 90.00 and 90.00 degrees. The asymmetric unit holds Sm at (0.000, 0.000, 0.000), Al at (0.000, 0.000, 0.390) and Al at (0.000, 0.500, 0.250).

---

(6)
Sm2AlSn | PBE | optimized geometry

The raw total energy is -4.91 eV per atom.

The space group is Amm2 (No. 38) and the conventional cell measures 4.251, 4.586 and 11.474 Å, with angles of 90.00, 90.00 and 90.00 degrees. The asymmetric unit holds Sm at (0.000, 0.000, 0.000), Sm at (0.500, 0.000, 0.280), Al at (0.000, 0.000, 0.723) and Sn at (0.500, 0.000, 0.565).

---

(7)
SmAlSnTe3 | PBE | optimized geometry

The raw total energy is -4.19 eV per atom.

The space group is Cmcm (No. 63) and the conventional cell measures 4.433, 14.597 and 11.195 Å, with angles of 90.00, 90.00 and 90.00 degrees. The asymmetric unit holds Sm at (0.000, 0.000, 0.000), Al at (0.000, 0.476, 0.250), Sn at (0.000, 0.199, 0.750), Te at (0.000, 0.100, 0.250) and Te at (0.000, 0.352, 0.057).

---

(8)
SrSmAl | PBE | optimized geometry

The raw total energy is -2.94 eV per atom.

The space group is F-43m (No. 216) and the conventional cell measures 7.420, 7.420 and 7.420 Å, with angles of 90.00, 90.00 and 90.00 degrees. The asymmetric unit holds Sr at (0.000, 0.000, 0.000), Sm at (0.250, 0.250, 0.750) and Al at (0.000, 0.000, 0.500).

---

(9)
TbSmAl | PBE | optimized geometry

The raw total energy is -3.86 eV per atom.

The space group is F-43m (No. 216) and the conventional cell measures 7.215, 7.215 and 7.215 Å, with angles of 90.00, 90.00 and 90.00 degrees. The asymmetric unit holds Tb at (0.000, 0.000, 0.000), Sm at (0.250, 0.250, 0.750) and Al at (0.000, 0.000, 0.500).

---

(10)
Sm2Al4Tc | PBE | optimized geometry

The raw total energy is -5.12 eV per atom.

The space group is P4/mmm (No. 123) and the conventional cell measures 5.845, 5.845 and 4.623 Å, with angles of 90.00, 90.00 and 90.00 degrees. The asymmetric unit holds Sm at (0.000, 0.500, 0.000), Al at (0.229, 0.229, 0.500) and Tc at (0.000, 0.000, 0.000).

---

(11)
SmAlTlTe3 | PBE | optimized geometry

The raw total energy is -4.07 eV per atom.

The space group is Cmcm (No. 63) and the conventional cell measures 4.554, 15.196 and 11.744 Å, with angles of 90.00, 90.00 and 90.00 degrees. The asymmetric unit holds Sm at (0.000, 0.000, 0.000), Al at (0.000, 0.471, 0.250), Tl at (0.000, 0.239, 0.750), Te at (0.000, 0.075, 0.250) and Te at (0.000, 0.363, 0.068).

---

(12)
Sm2Tm2Al3 | PBE | optimized geometry

The raw total energy is -4.41 eV per atom.

The space group is C2/m (No. 12) and the conventional cell measures 17.205, 3.899 and 5.779 Å, with angles of 90.00, 94.12 and 90.00 degrees. The asymmetric unit holds Sm at (0.088, 0.000, 0.352), Tm at (0.166, 0.500, 0.864), Al at (0.000, 0.500, 0.000) and Al at (0.229, 0.500, 0.360).

---

(13)
SmTmAl2 | PBE | optimized geometry

The raw total energy is -4.53 eV per atom.

The space group is Amm2 (No. 38) and the conventional cell measures 4.161, 4.444 and 11.168 Å, with angles of 90.00, 90.00 and 90.00 degrees. The asymmetric unit holds Sm at (0.000, 0.000, 0.000), Tm at (0.500, 0.000, 0.280), Al at (0.000, 0.000, 0.716) and Al at (0.500, 0.000, 0.569).

---

(14)
SmUAl | PBE | optimized geometry

The raw total energy is -5.98 eV per atom. The polymorph energy (0 for the lowest one) comes out at 0.00 eV per formula unit.

The space group is F-43m (No. 216) and the conventional cell measures 7.113, 7.113 and 7.113 Å, with angles of 90.00, 90.00 and 90.00 degrees. The asymmetric unit holds Sm at (0.000, 0.000, 0.000), U at (0.000, 0.000, 0.500) and Al at (0.250, 0.250, 0.250).

---

(15)
SmAlW | PBE | optimized geometry

The raw total energy is -5.64 eV per atom. The polymorph energy (0 for the lowest one) comes out at 2.27 eV per formula unit.

The space group is F-43m (No. 216) and the conventional cell measures 6.840, 6.840 and 6.840 Å, with angles of 90.00, 90.00 and 90.00 degrees. The asymmetric unit holds Sm at (0.000, 0.000, 0.000), Al at (0.250, 0.250, 0.750) and W at (0.250, 0.250, 0.250).

---

(16)
Sm6Al43W4 | PBE | optimized geometry

The raw total energy is -4.83 eV per atom.

The space group is P6_3/mcm (No. 193) and the conventional cell measures 11.0604, 11.0604 and 17.8746 Å, with angles of 90.00, 90.00 and 120.00 degrees. The asymmetric unit holds Sm at (0.0000, 0.4693, 0.0954), Al at (0.0000, 0.1483, 0.7500), Al at (0.0000, 0.1602, 0.1143), Al at (0.0000, 0.2529, 0.5306), Al at (0.1474, 0.5514, 0.2500), Al at (0.1582, 0.3941, 0.6645), Al at (0.2469, 0.4939, 0.0000), Al at (0.3333, 0.6667, 0.1261), W at (0.0000, 0.0000, 0.0000) and W at (0.0000, 0.2688, 0.2500).

---

(17)
SmAlW | PBE | optimized geometry

The raw total energy is -6.39 eV per atom. The polymorph energy (0 for the lowest one) comes out at 0.00 eV per formula unit.

The space group is F-43m (No. 216) and the conventional cell measures 6.526, 6.526 and 6.526 Å, with angles of 90.00, 90.00 and 90.00 degrees. The asymmetric unit holds Sm at (0.000, 0.000, 0.000), Al at (0.250, 0.250, 0.250) and W at (0.000, 0.000, 0.500).

---

(18)
SmYAl2 | PBE | optimized geometry

The raw total energy is -5.06 eV per atom.

The space group is Amm2 (No. 38) and the conventional cell measures 4.183, 4.469 and 11.283 Å, with angles of 90.00, 90.00 and 90.00 degrees. The asymmetric unit holds Sm at (0.000, 0.000, 0.000), Y at (0.500, 0.000, 0.280), Al at (0.000, 0.000, 0.715) and Al at (0.500, 0.000, 0.569).

---

(19)
SmAl8Zn4 | PBE | optimized geometry

The raw total energy is -3.15 eV per atom.

The space group is I4/mmm (No. 139) and the conventional cell measures 9.191, 9.191 and 5.271 Å, with angles of 90.00, 90.00 and 90.00 degrees. The asymmetric unit holds Sm at (0.000, 0.000, 0.000), Al at (0.000, 0.218, 0.500), Al at (0.000, 0.355, 0.000) and Zn at (0.250, 0.250, 0.250).

---

(20)
SrAlZn2Sn | PBE | optimized geometry

The raw total energy is -2.70 eV per atom.

The space group is I4mm (No. 107) and the conventional cell measures 4.457, 4.457 and 11.454 Å, with angles of 90.00, 90.00 and 90.00 degrees. The asymmetric unit holds Sr at (0.000, 0.000, 0.000), Al at (0.000, 0.000, 0.620), Zn at (0.000, 0.500, 0.238) and Sn at (0.000, 0.000, 0.382).

---

(21)
TbAlSnTe3 | PBE | optimized geometry

The raw total energy is -4.17 eV per atom.

The space group is Cmcm (No. 63) and the conventional cell measures 4.400, 14.624 and 11.097 Å, with angles of 90.00, 90.00 and 90.00 degrees. The asymmetric unit holds Tb at (0.000, 0.000, 0.000), Al at (0.000, 0.474, 0.250), Sn at (0.000, 0.200, 0.750), Te at (0.000, 0.097, 0.250) and Te at (0.000, 0.354, 0.053).